# 1
DFT (GGA-PBE) results for crystalline BaPmAgTe3 at its relaxed geometry.

Geometry as POSCAR:
```
BaPmAgTe3
1.0
-3.535 -2.784 -0.789
1.166 -3.886 8.492
-6.450 7.754 1.539
Ba Pm Ag Te
2 2 2 6
Cartesian
-2.250 0.462 1.840
-6.569 0.622 7.402
-1.137 -2.074 5.807
-7.681 3.159 3.435
-4.571 3.532 1.404
-4.248 -2.448 7.838
-2.432 -4.587 7.246
-6.387 5.671 1.996
-3.091 0.072 6.987
-5.728 1.013 2.255
-3.177 -2.557 3.423
-5.641 3.641 5.819
```

formation energy (no corrections): -1.27 eV/atom
magnetic moment: 0.00 Bohr magnetons per cell
SG: P2_1/m
total DFT energy (no corrections): -4.43 eV per atom
V: 423.99 Å³/cell

---

# 2
DFT (GGA-PBE) results for crystalline ZrAsCl2 at its relaxed geometry.

Geometry as POSCAR:
```
ZrAsCl2
1.0
-0.680 8.065 -1.672
-4.070 6.651 2.740
5.036 -6.551 0.178
As Zr Cl
1 1 2
Cartesian
-1.199 5.261 1.837
-2.406 7.456 0.541
-0.002 0.005 0.000
1.518 2.802 -0.599
```

formation energy (no corrections): -0.78 eV/atom
magnetic moment: 0.00 Bohr magnetons per cell
density of states at the Fermi level: 2.683 states/eV/cell
SG: Imm2
excess energy over the best structure of this formula in the dataset: 286 meV/atom
total DFT energy (no corrections): -5.00 eV per atom
V: 115.56 Å³/cell

---

# 3
DFT (GGA-PBE) results for crystalline CsSr3Cd at its relaxed geometry.

Geometry as POSCAR:
```
CsSr3Cd
1.0
-0.628 4.843 4.485
-4.790 2.766 -3.658
-4.542 -3.587 3.237
Cs Sr Cd
1 3 1
Cartesian
-4.980 2.011 2.032
-2.395 1.383 -1.829
-2.271 -1.793 1.618
-0.314 2.422 2.243
0.000 0.000 0.000
```

ΔE_f: 0.0021 eV/atom
magnetic moment: 0.00 Bohr magnetons per cell
density of states at the Fermi level: 6.721 states/eV/cell
SG: Pm-3m
excess energy over the best structure of this formula in the dataset: 0 meV/atom
total DFT energy (no corrections): -1.36 eV per atom
V: 291.59 Å³/cell

---

# 4
DFT (GGA-PBE) results for crystalline LaSiRu2 at its relaxed geometry.

Geometry as POSCAR:
```
LaSiRu2
1.0
-2.127 -1.917 -1.977
3.261 -2.959 -0.639
-1.329 -2.244 3.605
La Ru Si
1 2 1
Cartesian
-1.728 -2.080 0.814
0.000 0.000 0.000
0.966 -2.601 1.483
0.567 -2.438 -1.308
```

formation energy (no corrections): -0.11 eV/atom
magnetic moment: 0.00 Bohr magnetons per cell
density of states at the Fermi level: 3.402 states/eV/cell
SG: P4/mmm
total DFT energy (no corrections): -7.34 eV per atom
V: 68.89 Å³/cell

---

# 5
DFT (GGA-PBE) results for crystalline CuAgH2F8 at its relaxed geometry.

Geometry as POSCAR:
```
CuAgH2F8
1.0
-4.025 -2.234 0.571
-0.423 -0.211 3.685
-1.624 8.681 1.672
Cu Ag H F
1 1 2 8
Cartesian
0.000 0.000 0.000
-0.812 4.341 0.836
-3.492 5.367 3.376
-2.580 0.869 2.551
-1.788 0.982 3.434
-3.466 -1.544 3.091
-3.328 0.763 1.721
-4.284 5.254 2.493
-2.606 7.780 2.837
-2.744 5.473 4.206
-4.162 2.822 3.787
-1.910 3.414 2.140
```

magnetic moment: 0.00 Bohr magnetons per cell
density of states at the Fermi level: 1.131 states/eV/cell
SG: P-1
total DFT energy (no corrections): -3.62 eV per atom
V: 139.68 Å³/cell

---

# 6
DFT (GGA-PBE) results for crystalline CsK2Na at its relaxed geometry.

Geometry as POSCAR:
```
CsK2Na
1.0
6.162 0.000 0.000
0.000 6.162 0.000
3.081 3.081 15.726
Cs Na K
2 2 4
Cartesian
0.000 0.000 0.000
6.162 3.081 7.863
3.081 3.081 0.000
3.081 6.162 7.863
4.485 1.540 3.932
1.677 4.621 3.932
4.621 4.758 11.795
7.702 7.565 11.795
```

ΔE_f: 0.0803 eV/atom
magnetic moment: 0.00 Bohr magnetons per cell
density of states at the Fermi level: 6.670 states/eV/cell
SG: I-42d
excess energy over the best structure of this formula in the dataset: 66 meV/atom
total DFT energy (no corrections): -1.01 eV per atom
V: 597.07 Å³/cell

---

# 7
DFT (GGA-PBE) results for crystalline AgHg2HRh at its relaxed geometry.

Geometry as POSCAR:
```
AgHg2HRh
1.0
-1.839 4.289 -1.129
-4.429 -1.840 0.225
-0.164 0.800 3.305
H Rh Hg Ag
1 1 2 1
Cartesian
0.000 0.000 0.000
-0.082 0.400 1.652
-2.215 -0.920 0.113
-0.920 2.145 -0.565
-3.217 1.624 1.200
```

magnetic moment: 0.00 Bohr magnetons per cell
density of states at the Fermi level: 2.761 states/eV/cell
SG: P4/mmm
total DFT energy (no corrections): -2.65 eV per atom
V: 78.48 Å³/cell

---

# 8
DFT (GGA-PBE) results for crystalline PW at its relaxed geometry.

Geometry as POSCAR:
```
PW
1.0
-2.236 -2.036 0.245
2.835 -3.089 0.196
0.128 0.404 4.524
P W
2 2
Cartesian
1.775 -1.934 0.123
0.006 -1.971 2.458
-0.765 -1.402 0.147
2.546 -2.503 2.433
```

ΔE_f: -0.1042 eV/atom
magnetic moment: 0.00 Bohr magnetons per cell
density of states at the Fermi level: 3.793 states/eV/cell
SG: Pmmn
total DFT energy (no corrections): -9.29 eV per atom
V: 57.85 Å³/cell

---

# 9
DFT (GGA-PBE) results for crystalline BaCu2Ag at its relaxed geometry.

Geometry as POSCAR:
```
BaCu2Ag
1.0
4.610 0.000 0.000
0.000 4.893 -0.836
0.000 0.774 4.559
Ag Ba Cu
1 1 2
Cartesian
2.305 1.417 0.931
2.305 4.250 2.793
0.000 5.067 0.308
0.000 2.660 0.718
```

ΔE_f: 0.0487 eV/atom
magnetic moment: 0.00 Bohr magnetons per cell
density of states at the Fermi level: 0.790 states/eV/cell
SG: P2/m
total DFT energy (no corrections): -3.19 eV per atom
V: 105.83 Å³/cell

---

# 10
DFT (GGA-PBE) results for crystalline Cs3BiO4 at its relaxed geometry.

Geometry as POSCAR:
```
Cs3BiO4
1.0
6.903 -0.012 -0.023
-3.409 6.002 0.023
-3.065 -2.227 5.771
Cs Bi O
3 1 4
Cartesian
0.532 -0.310 4.430
0.232 -0.135 0.347
0.160 3.920 1.735
-3.211 1.872 2.936
-3.789 2.209 4.867
-1.451 0.846 2.775
2.234 0.772 1.993
-2.982 3.677 2.016
```

formation energy (no corrections): -1.22 eV/atom
magnetic moment: 0.17 Bohr magnetons per cell
density of states at the Fermi level: 0.000 states/eV/cell
SG: Imm2
excess energy over the best structure of this formula in the dataset: 26 meV/atom
total DFT energy (no corrections): -4.51 eV per atom
V: 238.61 Å³/cell

---

# 11
DFT (GGA-PBE) results for crystalline Ho5Tl6Zn at its relaxed geometry.

Geometry as POSCAR:
```
Ho5Tl6Zn
1.0
4.609 0.003 -1.418
-0.968 8.209 -3.128
0.210 -1.349 8.878
Zn Tl Ho
1 6 5
Cartesian
0.000 0.000 0.000
0.442 3.033 1.444
-0.031 7.048 -0.086
2.047 2.183 -1.540
1.593 6.029 -3.006
3.882 -0.186 4.418
3.408 3.830 2.888
0.991 6.108 3.237
2.542 5.086 0.074
-0.484 4.104 -1.564
1.309 1.777 4.258
2.859 0.755 1.095
```

ΔE_f: -0.2630 eV/atom
magnetic moment: 0.00 Bohr magnetons per cell
density of states at the Fermi level: 8.904 states/eV/cell
SG: Immm
total DFT energy (no corrections): -3.46 eV per atom
V: 317.03 Å³/cell

---

# 12
DFT (GGA-PBE) results for crystalline DyHg at its relaxed geometry.

Geometry as POSCAR:
```
DyHg
1.0
-2.777 1.273 2.132
1.663 -1.421 3.014
1.841 3.195 0.491
Hg Dy
1 1
Cartesian
0.000 0.000 0.000
0.364 1.523 2.818
```

ΔE_f: -0.4825 eV/atom
magnetic moment: 0.00 Bohr magnetons per cell
density of states at the Fermi level: 2.158 states/eV/cell
SG: Pm-3m
total DFT energy (no corrections): -2.93 eV per atom
V: 51.60 Å³/cell

---

# 13
DFT (GGA-PBE) results for crystalline NaLiCdHg at its relaxed geometry.

Geometry as POSCAR:
```
NaLiCdHg
1.0
3.485 0.000 0.000
0.000 3.485 0.000
0.000 0.000 7.369
Na Li Cd Hg
1 1 1 1
Cartesian
0.000 0.000 0.577
0.000 0.000 4.150
1.742 1.742 5.749
1.742 1.742 2.676
```

ΔE_f: -0.2307 eV/atom
magnetic moment: 0.00 Bohr magnetons per cell
density of states at the Fermi level: 1.079 states/eV/cell
SG: P4mm
excess energy over the best structure of this formula in the dataset: 0 meV/atom
total DFT energy (no corrections): -1.34 eV per atom
V: 89.50 Å³/cell

---

# 14
DFT (GGA-PBE) results for crystalline Ac2TmRe2N6 at its relaxed geometry.

Geometry as POSCAR:
```
Ac2TmRe2N6
1.0
5.898 0.000 0.000
2.949 5.108 0.000
2.949 1.703 6.103
Ac Tm Re N
2 1 2 6
Cartesian
8.847 5.108 3.884
2.949 1.703 2.219
0.000 0.000 0.000
5.898 3.405 4.885
5.898 3.405 1.218
7.414 4.280 1.690
4.382 4.280 1.690
5.898 1.655 1.690
5.898 5.156 4.412
7.414 2.530 4.412
4.382 2.530 4.412
```

formation energy (no corrections): -0.79 eV/atom
magnetic moment: 0.00 Bohr magnetons per cell
density of states at the Fermi level: 2.877 states/eV/cell
SG: R-3m
total DFT energy (no corrections): -8.75 eV per atom
V: 183.83 Å³/cell

---

# 15
DFT (GGA-PBE) results for crystalline BaOs2RuW at its relaxed geometry.

Geometry as POSCAR:
```
BaOs2RuW
1.0
-0.683 -0.573 -4.664
1.831 -5.294 0.382
-4.437 -1.475 0.831
Ru Os Ba W
1 2 1 1
Cartesian
-1.644 -3.671 -1.726
-2.218 -0.737 0.415
-0.341 -0.286 -2.332
0.916 -2.647 0.191
0.000 0.000 0.000
```

ΔE_f: 2.2914 eV/atom
magnetic moment: 2.55 Bohr magnetons per cell
density of states at the Fermi level: 7.292 states/eV/cell
SG: P4/mmm
excess energy over the best structure of this formula in the dataset: 660 meV/atom
total DFT energy (no corrections): -7.03 eV per atom
V: 126.60 Å³/cell

---

# 16
DFT (GGA-PBE) results for crystalline La2Si4GePt3 at its relaxed geometry.

Geometry as POSCAR:
```
La2Si4GePt3
1.0
4.368 0.000 0.000
0.000 4.368 0.000
0.000 0.000 9.809
La Si Ge Pt
2 4 1 3
Cartesian
2.184 0.000 2.419
0.000 2.184 7.390
2.184 2.184 0.000
0.000 0.000 0.000
2.184 0.000 6.226
0.000 2.184 3.583
2.184 2.184 4.904
0.000 0.000 4.904
2.184 0.000 8.654
0.000 2.184 1.155
```

formation energy (no corrections): -0.99 eV/atom
magnetic moment: 0.00 Bohr magnetons per cell
density of states at the Fermi level: 2.676 states/eV/cell
SG: P-4m2
total DFT energy (no corrections): -6.42 eV per atom
V: 187.14 Å³/cell

---

# 17
DFT (GGA-PBE) results for crystalline Gd2C3 at its relaxed geometry.

Geometry as POSCAR:
```
Gd2C3
1.0
-3.359 -5.041 3.946
-1.896 -0.714 -6.940
7.155 -0.811 0.639
Gd C
8 12
Cartesian
-2.969 -3.391 -1.095
2.627 -3.009 2.358
2.437 -0.835 -3.857
1.707 -5.897 -2.114
-0.950 -2.603 2.038
-1.290 -0.871 -3.068
3.385 -0.478 -0.387
0.757 -2.614 -0.937
-2.823 -4.221 1.430
-0.533 -4.459 -2.131
-1.142 -3.521 -2.866
-2.214 -5.160 2.166
4.762 -1.937 1.184
1.664 -4.678 0.251
0.820 -4.433 1.262
5.606 -2.181 0.173
0.132 -0.996 -5.179
2.501 -3.406 -2.618
3.344 -2.483 -2.138
-0.711 -1.919 -5.659
```

ΔE_f: -0.2283 eV/atom
magnetic moment: 55.87 Bohr magnetons per cell
density of states at the Fermi level: 12.266 states/eV/cell
SG: I-43d
total DFT energy (no corrections): -11.39 eV per atom
V: 290.86 Å³/cell

---

# 18
DFT (GGA-PBE) results for crystalline MgZrI at its relaxed geometry.

Geometry as POSCAR:
```
MgZrI
1.0
4.580 0.000 0.000
0.000 3.952 0.000
-0.051 0.000 10.745
Mg Zr I
2 2 2
Cartesian
3.835 1.976 8.453
1.545 0.000 8.405
1.548 1.976 10.736
3.890 0.000 0.183
1.600 0.000 2.276
3.854 0.000 6.195
```

formation energy (no corrections): -0.28 eV/atom
magnetic moment: 0.00 Bohr magnetons per cell
density of states at the Fermi level: 5.385 states/eV/cell
SG: Pm
excess energy over the best structure of this formula in the dataset: 27 meV/atom
total DFT energy (no corrections): -4.17 eV per atom
V: 194.47 Å³/cell

---

# 19
DFT (GGA-PBE) results for crystalline TmNpCo at its relaxed geometry.

Geometry as POSCAR:
```
TmNpCo
1.0
-1.281 -3.001 4.637
0.580 -4.990 2.629
5.727 6.605 -1.233
Np Co Tm
2 2 2
Cartesian
-0.341 -7.051 6.669
5.367 5.666 -0.636
3.777 0.378 3.127
1.249 -1.764 2.906
3.432 2.493 0.712
1.594 -3.879 5.321
```

ΔE_f: 0.0017 eV/atom
magnetic moment: 0.00 Bohr magnetons per cell
density of states at the Fermi level: 7.741 states/eV/cell
SG: C2/m
total DFT energy (no corrections): -8.17 eV per atom
V: 117.30 Å³/cell

---

# 20
DFT (GGA-PBE) results for crystalline Ba2SrCa at its relaxed geometry.

Geometry as POSCAR:
```
Ba2SrCa
1.0
6.803 0.000 0.000
0.000 4.144 -0.008
0.000 1.324 7.766
Sr Ca Ba
1 1 2
Cartesian
3.402 4.014 5.798
0.000 2.804 3.867
0.000 1.356 7.729
3.402 1.352 2.007
```

ΔE_f: 0.0240 eV/atom
magnetic moment: 0.00 Bohr magnetons per cell
density of states at the Fermi level: 5.165 states/eV/cell
SG: Pm
excess energy over the best structure of this formula in the dataset: 5 meV/atom
total DFT energy (no corrections): -1.86 eV per atom
V: 218.98 Å³/cell